1.
The following is a PBE+U calculation of a relaxed structure of CaPm2CoO5, from Alexandria.

Summary:
total magnetic moment	2.0	μB per cell

abc: 6.625 6.625 5.592
angles: 90.00 90.00 90.00
Space group P4/mbm (No. 127)
One atom of each set of equivalent atoms:
Ca 0.000 0.000 0.000 x2
Pm 0.172 0.328 0.500 x4
Co 0.000 0.500 0.000 x2
O 0.000 0.000 0.500 x2
O 0.140 0.640 0.236 x8



2.
The following is a PBE+U calculation of a relaxed structure of CaPr2CoO5, from Alexandria.

Summary:
total magnetic moment	2.0	μB per cell

abc: 6.723 6.723 5.649
angles: 90.00 90.00 90.00
Space group P4/mbm (No. 127)
One atom of each set of equivalent atoms:
Ca 0.000 0.000 0.000 x2
Pr 0.172 0.328 0.500 x4
Co 0.000 0.500 0.000 x2
O 0.000 0.000 0.500 x2
O 0.141 0.641 0.232 x8



3.
The following is a PBE+U calculation of a relaxed structure of CaCoPtO6, from Alexandria.

Summary:
total magnetic moment	6.0	μB per cell

abc: 5.0793 5.0793 10.0517
angles: 90.00 90.00 120.00
Space group P-31c (No. 163)
One atom of each set of equivalent atoms:
Ca 0.0000 0.0000 0.0000 x2
Co 0.3333 0.6667 0.2500 x2
Pt 0.3333 0.6667 0.7500 x2
O 0.0163 0.3782 0.1452 x12



| no. | V (Å³ per cell) | VASP energy (eV per cell) |
| --- | --- | --- |
| 1 | 245 | -129.0 |
| 2 | 255 | -128.6 |
| 3 | 225 | -104.7 |